[1]
BiPbAu5 | PBE | relaxed

a b c (Å): 9.272 5.889 11.509
angles (deg): 90.00 90.00 90.00
Sites, in units of the cell vectors:
Bi (0.125, 0.250, 0.145)
Bi (0.375, 0.750, 0.645)
Bi (0.625, 0.250, 0.355)
Bi (0.875, 0.750, 0.855)
Pb (0.238, 0.250, 0.456)
Pb (0.262, 0.750, 0.956)
Pb (0.738, 0.250, 0.044)
Pb (0.762, 0.750, 0.544)
Au (0.086, 0.509, 0.688)
Au (0.086, 0.991, 0.688)
Au (0.089, 0.750, 0.471)
Au (0.112, 0.250, 0.900)
Au (0.155, 0.750, 0.219)
Au (0.345, 0.250, 0.719)
Au (0.388, 0.750, 0.400)
Au (0.411, 0.250, 0.971)
Au (0.414, 0.009, 0.188)
Au (0.414, 0.491, 0.188)
Au (0.586, 0.509, 0.812)
Au (0.586, 0.991, 0.812)
Au (0.589, 0.750, 0.029)
Au (0.612, 0.250, 0.600)
Au (0.655, 0.750, 0.281)
Au (0.845, 0.250, 0.781)
Au (0.888, 0.750, 0.100)
Au (0.911, 0.250, 0.529)
Au (0.914, 0.009, 0.312)
Au (0.914, 0.491, 0.312)

Summary:
- Symmetry: Pnma
- E: -3.46 eV/atom



[2]
BiPb4Au2 | PBE | relaxed

a b c (Å): 10.627 10.627 10.627
angles (deg): 26.58 26.58 26.58
Sites, in units of the cell vectors:
Bi (0.000, 0.000, 0.000)
Pb (0.200, 0.200, 0.200)
Pb (0.391, 0.391, 0.391)
Pb (0.609, 0.609, 0.609)
Pb (0.800, 0.800, 0.800)
Au (0.101, 0.101, 0.101)
Au (0.899, 0.899, 0.899)

Summary:
- Symmetry: R-3m
- Polymorph energy (0 for the lowest one): 0 meV per atom



[3]
Bi3PbAu2 | PBE | relaxed

a b c (Å): 7.071 7.071 7.071
angles (deg): 89.95 89.95 89.95
Sites, in units of the cell vectors:
Bi (0.250, 0.250, 0.750)
Bi (0.250, 0.750, 0.250)
Bi (0.250, 0.750, 0.750)
Bi (0.750, 0.250, 0.250)
Bi (0.750, 0.250, 0.750)
Bi (0.750, 0.750, 0.250)
Pb (0.250, 0.250, 0.250)
Pb (0.750, 0.750, 0.750)
Au (0.000, 0.000, 0.000)
Au (0.000, 0.500, 0.500)
Au (0.500, 0.000, 0.500)
Au (0.500, 0.500, 0.000)

Summary:
- Symmetry: R-3m
- E: -3.71 eV/atom



[4]
Bi3Pb2Au4 | PBE | relaxed

a b c (Å): 6.228 16.273 4.775
angles (deg): 90.00 90.00 90.00
Sites, in units of the cell vectors:
Bi (0.000, 0.000, 0.000)
Bi (0.191, 0.302, 0.500)
Bi (0.309, 0.802, 0.000)
Bi (0.500, 0.500, 0.500)
Bi (0.691, 0.198, 0.000)
Bi (0.809, 0.698, 0.500)
Pb (0.168, 0.591, 0.000)
Pb (0.332, 0.091, 0.500)
Pb (0.668, 0.909, 0.500)
Pb (0.832, 0.409, 0.000)
Au (0.186, 0.184, 0.000)
Au (0.188, 0.904, 0.500)
Au (0.312, 0.404, 0.000)
Au (0.314, 0.684, 0.500)
Au (0.686, 0.316, 0.500)
Au (0.688, 0.596, 0.000)
Au (0.812, 0.096, 0.500)
Au (0.814, 0.816, 0.000)

Summary:
- Symmetry: Pnnm
- Polymorph energy (0 for the lowest one): 0 meV per atom



[5]
BiPbAu10 | PBE | relaxed

a b c (Å): 4.699 5.631 9.758
angles (deg): 90.00 90.00 90.00
Sites, in units of the cell vectors:
Bi (0.000, 0.000, 0.000)
Pb (0.000, 0.500, 0.500)
Au (0.000, 0.000, 0.332)
Au (0.000, 0.000, 0.668)
Au (0.000, 0.500, 0.163)
Au (0.000, 0.500, 0.837)
Au (0.500, 0.000, 0.500)
Au (0.500, 0.250, 0.250)
Au (0.500, 0.250, 0.750)
Au (0.500, 0.500, 0.000)
Au (0.500, 0.750, 0.250)
Au (0.500, 0.750, 0.750)

Summary:
- Symmetry: Pmmm
- E: -3.33 eV/atom



[6]
Bi2Pd4PbAu2 | PBE | relaxed

a b c (Å): 6.510 6.510 6.510
angles (deg): 119.95 119.95 90.09
Sites, in units of the cell vectors:
Bi (0.250, 0.750, 0.500)
Bi (0.750, 0.250, 0.500)
Pd (0.217, 0.217, 0.435)
Pd (0.217, 0.783, 0.000)
Pd (0.783, 0.217, 0.000)
Pd (0.783, 0.783, 0.565)
Pb (0.500, 0.500, 0.000)
Au (0.207, 0.207, 0.000)
Au (0.793, 0.793, 0.000)

Summary:
- Symmetry: I4/mmm
- E: -4.28 eV/atom



| no. | M_tot (μB/f.u.) |
| --- | --- |
| 1 | 0.00 |
| 2 | 0.00 |
| 3 | 0.00 |
| 4 | 0.00 |
| 5 | 0.00 |
| 6 | 0.00 |